(1)
Compound: Sc2Fe2Pd
Source: Alexandria via LeMat-Bulk
Functional: PBE
Structure: optimized geometry

Geometry as CIF:
```
data_Sc2Fe2Pd
_cell_length_a 6.588
_cell_length_b 6.588
_cell_length_c 3.733
_cell_angle_alpha 90.00
_cell_angle_beta 90.00
_cell_angle_gamma 90.00
_symmetry_space_group_name_H-M 'P 1'
_symmetry_Int_Tables_number 1
_symmetry_space_group_name_Hall 'P 1'
loop_
_atom_site_label
_atom_site_type_symbol
_atom_site_fract_x
_atom_site_fract_y
_atom_site_fract_z
_atom_site_occupancy
Sc1 Sc 0.181 0.319 0.000 1
Sc2 Sc 0.319 0.819 0.000 1
Sc3 Sc 0.681 0.181 0.000 1
Sc4 Sc 0.819 0.681 0.000 1
Fe1 Fe 0.115 0.615 0.500 1
Fe2 Fe 0.385 0.115 0.500 1
Fe3 Fe 0.615 0.885 0.500 1
Fe4 Fe 0.885 0.385 0.500 1
Pd1 Pd 0.000 0.000 0.500 1
Pd2 Pd 0.500 0.500 0.500 1
```

* uncorrected energy: -72.07 eV per cell
* E_form: -250.3 meV per atom
* size of the total moment: 4.81 μB/cell
* V: 16.20 Å³/atom

---

(2)
Compound: YTeO
Source: Alexandria via LeMat-Bulk
Functional: PBE
Structure: optimized geometry

Geometry as CIF:
```
data_YTeO
_cell_length_a 3.775
_cell_length_b 6.095
_cell_length_c 7.360
_cell_angle_alpha 73.52
_cell_angle_beta 75.14
_cell_angle_gamma 89.85
_symmetry_space_group_name_H-M 'P 1'
_symmetry_Int_Tables_number 1
_symmetry_space_group_name_Hall 'P 1'
loop_
_atom_site_label
_atom_site_type_symbol
_atom_site_fract_x
_atom_site_fract_y
_atom_site_fract_z
_atom_site_occupancy
Y1 Y 0.169 0.084 0.162 1
Y2 Y 0.831 0.916 0.838 1
Te1 Te 0.497 0.744 0.509 1
Te2 Te 0.503 0.256 0.491 1
O1 O 0.251 0.829 0.999 1
O2 O 0.749 0.171 0.001 1
```

* energy relative to the elements, uncorrected: -2.22 eV/atom
* uncorrected energy: -42.43 eV per cell
* size of the total moment: 0.00 μB/cell
* V: 26.09 Å³/atom

---

(3)
Compound: RhPbF
Source: Alexandria via LeMat-Bulk
Functional: PBE
Structure: optimized geometry

Geometry as CIF:
```
data_RhPbF
_cell_length_a 5.726
_cell_length_b 5.726
_cell_length_c 5.726
_cell_angle_alpha 50.22
_cell_angle_beta 50.22
_cell_angle_gamma 50.22
_symmetry_space_group_name_H-M 'P 1'
_symmetry_Int_Tables_number 1
_symmetry_space_group_name_Hall 'P 1'
loop_
_atom_site_label
_atom_site_type_symbol
_atom_site_fract_x
_atom_site_fract_y
_atom_site_fract_z
_atom_site_occupancy
Rh1 Rh 0.172 0.172 0.172 1
Rh2 Rh 0.828 0.828 0.828 1
Pb1 Pb 0.000 0.000 0.000 1
Pb2 Pb 0.500 0.500 0.500 1
F1 F 0.325 0.325 0.325 1
F2 F 0.675 0.675 0.675 1
```

* energy relative to the elements, uncorrected: -0.95 eV/atom
* uncorrected energy: -31.53 eV per cell
* size of the total moment: 0.45 μB/cell
* V: 17.02 Å³/atom
* distance to the lowest polymorph of the same formula: 0.000 eV per atom

---

(4)
Compound: CaTiNb2Ru
Source: Alexandria via LeMat-Bulk
Functional: PBE
Structure: optimized geometry

Geometry as CIF:
```
data_CaTiNb2Ru
_cell_length_a 4.731
_cell_length_b 4.731
_cell_length_c 4.578
_cell_angle_alpha 90.00
_cell_angle_beta 90.00
_cell_angle_gamma 90.00
_symmetry_space_group_name_H-M 'P 1'
_symmetry_Int_Tables_number 1
_symmetry_space_group_name_Hall 'P 1'
loop_
_atom_site_label
_atom_site_type_symbol
_atom_site_fract_x
_atom_site_fract_y
_atom_site_fract_z
_atom_site_occupancy
Ca1 Ca 0.000 0.000 0.000 1
Ti1 Ti 0.500 0.500 0.500 1
Nb1 Nb 0.000 0.500 0.000 1
Nb2 Nb 0.500 0.000 0.000 1
Ru1 Ru 0.000 0.000 0.500 1
```

* uncorrected energy: -29.03 eV per cell
* E_form: 2055.6 meV per atom
* size of the total moment: 0.00 μB/cell
* V: 20.49 Å³/atom

---

(5)
Compound: Sb2IrSe
Source: Alexandria via LeMat-Bulk
Functional: PBE
Structure: optimized geometry

Geometry as CIF:
```
data_Sb2IrSe
_cell_length_a 7.552
_cell_length_b 7.552
_cell_length_c 7.552
_cell_angle_alpha 130.76
_cell_angle_beta 130.76
_cell_angle_gamma 72.19
_symmetry_space_group_name_H-M 'P 1'
_symmetry_Int_Tables_number 1
_symmetry_space_group_name_Hall 'P 1'
loop_
_atom_site_label
_atom_site_type_symbol
_atom_site_fract_x
_atom_site_fract_y
_atom_site_fract_z
_atom_site_occupancy
Sb1 Sb 0.077 0.625 0.952 1
Sb2 Sb 0.375 0.327 0.452 1
Sb3 Sb 0.673 0.125 0.048 1
Sb4 Sb 0.875 0.923 0.548 1
Ir1 Ir 0.000 0.000 0.000 1
Ir2 Ir 0.750 0.250 0.500 1
Se1 Se 0.250 0.750 0.500 1
Se2 Se 0.500 0.500 0.000 1
```

* energy relative to the elements, uncorrected: 0.10 eV/atom
* uncorrected energy: -40.40 eV per cell
* size of the total moment: 0.00 μB/cell
* V: 30.20 Å³/atom

---

(6)
Compound: AgSn2Bi
Source: Alexandria via LeMat-Bulk
Functional: PBE
Structure: optimized geometry

Geometry as CIF:
```
data_AgSn2Bi
_cell_length_a 3.396
_cell_length_b 3.396
_cell_length_c 9.100
_cell_angle_alpha 90.00
_cell_angle_beta 90.00
_cell_angle_gamma 90.00
_symmetry_space_group_name_H-M 'P 1'
_symmetry_Int_Tables_number 1
_symmetry_space_group_name_Hall 'P 1'
loop_
_atom_site_label
_atom_site_type_symbol
_atom_site_fract_x
_atom_site_fract_y
_atom_site_fract_z
_atom_site_occupancy
Ag1 Ag 0.000 0.000 0.000 1
Sn1 Sn 0.500 0.500 0.212 1
Sn2 Sn 0.500 0.500 0.788 1
Bi1 Bi 0.000 0.000 0.500 1
```

* uncorrected energy: -14.42 eV per cell
* E_form: 79.5 meV per atom
* size of the total moment: 0.00 μB/cell
* V: 26.23 Å³/atom